Density functional theory data (PBE) for a geometry-optimized BeTlGa2Pt structure.

a b c (Å): 5.2777 5.2777 5.1609
angles (deg): 90.00 90.00 90.00
Atoms (fractional coordinates):
Be (0.0000, 0.0000, 0.0000)
Tl (0.5000, 0.5000, 0.5000)
Ga (0.0000, 0.5000, 0.5000)
Ga (0.5000, 0.0000, 0.5000)
Pt (0.5000, 0.5000, 0.0000)

Computed properties:
The density of states at the Fermi level comes out at 3.4 states/eV per cell. As for the space-group type: P4/mmm (123). As for the total energy: -12.01 eV per cell.